[1]
Material: LiBeIn
Method: DFT, GGA-PBE
State: optimized geometry

Unit cell a=5.120 b=5.120 c=4.573 alpha=116.37 beta=116.37 gamma=76.37
Element x y z (fractional)
Li1 0.157 0.843 0.500
Li2 0.843 0.157 0.000
Be1 0.661 0.661 0.411
Be2 0.661 0.661 0.911
In1 0.156 0.474 0.816
In2 0.474 0.156 0.316

Output
energy of formation	0.076	eV/atom
space group	Cc (9)
E above lowest polymorph	45	meV/atom


[2]
Material: NaSn8Ir2
Method: DFT, GGA-PBE
State: optimized geometry

Unit cell a=6.434 b=6.434 c=7.576 alpha=90.00 beta=90.00 gamma=90.00
Element x y z (fractional)
Na1 0.000 0.000 0.000
Sn1 0.255 0.255 0.288
Sn2 0.255 0.255 0.712
Sn3 0.255 0.745 0.288
Sn4 0.255 0.745 0.712
Sn5 0.745 0.255 0.288
Sn6 0.745 0.255 0.712
Sn7 0.745 0.745 0.288
Sn8 0.745 0.745 0.712
Ir1 0.000 0.500 0.500
Ir2 0.500 0.000 0.500

Output
energy of formation	-0.006	eV/atom
space group	P4/mmm (123)


[3]
Material: TlNiOs2
Method: DFT, GGA-PBE
State: optimized geometry

Unit cell a=9.169 b=9.169 c=9.169 alpha=17.80 beta=17.80 gamma=17.80
Element x y z (fractional)
Tl1 0.000 0.000 0.000
Ni1 0.500 0.500 0.500
Os1 0.239 0.239 0.239
Os2 0.761 0.761 0.761

Output
energy of formation	0.818	eV/atom
space group	R-3m (166)
E above lowest polymorph	348	meV/atom


[4]
Material: LiNbCd
Method: DFT, GGA-PBE
State: optimized geometry

Unit cell a=2.765 b=4.491 c=8.972 alpha=90.00 beta=96.27 gamma=90.00
Element x y z (fractional)
Li1 0.000 0.000 0.000
Li2 0.361 0.000 0.330
Nb1 0.186 0.500 0.825
Nb2 0.592 0.000 0.673
Cd1 0.691 0.500 0.145
Cd2 0.996 0.500 0.483

Output
energy of formation	0.083	eV/atom
space group	Pm (6)
E above lowest polymorph	50	meV/atom


| no. | Fermi-level density of states (states/eV/cell) | total magnetization (μB/f.u.) |
| --- | --- | --- |
| 1 | 2.3 | 0.0 |
| 2 | 7.5 | 0.0 |
| 3 | 4.8 | 0.0 |
| 4 | 5.8 | 0.0 |